1.
The following is a PBE-GGA calculation of a relaxed structure of PmPaGaGe, from Alexandria.

```
PmPaGaGe
1.0
5.108 0.000 0.000
2.554 4.423 0.000
2.554 1.474 4.170
Pm Ga Pa Ge
1 1 1 1
direct
0.500 0.500 0.500
0.750 0.750 0.750
0.000 0.000 0.000
0.250 0.250 0.250
```

## Properties
energy of formation = -0.312 eV/atom
raw total energy = -5.78 eV/atom

2.
The following is a PBE-GGA calculation of a relaxed structure of PrPaGaGe, from Alexandria.

```
PrPaGaGe
1.0
-0.306 -3.947 3.289
3.608 -0.621 3.618
-1.141 0.854 4.946
Pr Ge Ga Pa
1 1 1 1
direct
0.750 0.750 0.750
0.000 0.000 0.000
0.500 0.500 0.500
0.250 0.250 0.250
```

## Properties
energy of formation = -0.282 eV/atom
raw total energy = -5.76 eV/atom

3.
The following is a PBE-GGA calculation of a relaxed structure of Pa2GaGe3Rh4, from Alexandria.

```
Pa2GaGe3Rh4
1.0
-3.645 0.680 -1.813
0.824 -2.953 -2.764
-4.419 -7.067 6.234
Rh Ge Ga Pa
4 3 1 2
direct
0.000 0.000 0.000
0.500 0.000 0.637
0.000 0.500 0.363
0.500 0.500 0.000
0.000 0.000 0.500
0.500 0.000 0.868
0.000 0.500 0.132
0.500 0.500 0.500
0.500 0.000 0.251
0.000 0.500 0.749
```

## Properties
energy of formation = -0.749 eV/atom
raw total energy = -7.28 eV/atom

4.
The following is a PBE-GGA calculation of a relaxed structure of PaGaGe2Rh, from Alexandria.

```
PaGaGe2Rh
1.0
5.735 0.000 0.000
-2.868 4.457 0.000
0.000 0.000 8.148
Ga Ge Pa Rh
2 4 2 2
direct
0.000 0.000 0.500
0.500 0.000 0.500
0.388 0.775 0.779
0.888 0.775 0.221
0.112 0.225 0.779
0.612 0.225 0.221
0.750 0.500 0.816
0.250 0.500 0.184
0.750 0.000 0.000
0.250 0.000 0.000
```

## Properties
energy of formation = -0.244 eV/atom
raw total energy = -6.07 eV/atom

5.
The following is a PBE-GGA calculation of a relaxed structure of PaGaGeRh, from Alexandria.

```
PaGaGeRh
1.0
3.042 0.000 0.000
0.000 5.112 0.000
0.000 0.000 5.097
Ge Pa Rh Ga
1 1 1 1
direct
0.000 0.000 0.000
0.500 0.500 0.500
0.000 0.000 0.500
0.000 0.500 0.000
```

## Properties
energy of formation = -0.097 eV/atom
raw total energy = -6.22 eV/atom

6.
The following is a PBE-GGA calculation of a relaxed structure of Pa2Ga4Ge2Ru, from Alexandria.

```
Pa2Ga4Ge2Ru
1.0
6.222 -0.117 -0.168
-3.089 5.402 0.168
-3.089 -1.740 5.117
Ga Ru Pa Ge
4 1 2 2
direct
0.433 0.716 0.716
0.000 0.284 0.716
0.000 0.716 0.284
0.567 0.284 0.284
0.000 0.000 0.000
0.500 0.750 0.250
0.500 0.250 0.750
0.000 0.276 0.276
0.000 0.724 0.724
```

## Properties
energy of formation = -0.395 eV/atom
raw total energy = -5.91 eV/atom

7.
The following is a PBE-GGA calculation of a relaxed structure of Pa2GaGe2Ru5, from Alexandria.

```
Pa2GaGe2Ru5
1.0
-2.071 2.596 -1.279
-1.368 -5.135 -8.206
-7.831 -4.284 3.987
Ru Ga Ge Pa
10 2 4 4
direct
0.500 0.703 0.421
0.500 0.079 0.797
0.500 0.921 0.203
0.500 0.203 0.079
0.500 0.421 0.297
0.500 0.797 0.921
0.500 0.000 0.500
0.500 0.579 0.703
0.500 0.297 0.579
0.500 0.500 0.000
0.000 0.500 0.500
0.000 0.000 0.000
0.000 0.876 0.376
0.000 0.624 0.876
0.000 0.376 0.124
0.000 0.124 0.624
0.000 0.176 0.324
0.000 0.824 0.676
0.000 0.676 0.176
0.000 0.324 0.824
```

## Properties
energy of formation = -0.441 eV/atom
raw total energy = -8.20 eV/atom

8.
The following is a PBE-GGA calculation of a relaxed structure of PaGaGeS, from Alexandria.

```
PaGaGeS
1.0
4.436 0.000 0.000
0.000 4.436 0.000
0.000 0.000 8.125
S Ga Pa Ge
2 2 2 2
direct
0.500 0.500 0.500
0.000 0.000 0.500
0.500 0.500 0.000
0.000 0.000 0.000
0.500 0.000 0.708
0.000 0.500 0.292
0.000 0.500 0.821
0.500 0.000 0.179
```

## Properties
raw total energy = -5.98 eV/atom
formation energy (no corrections) = -663 meV per atom

9.
The following is a PBE-GGA calculation of a relaxed structure of PaGaGeSe, from Alexandria.

```
PaGaGeSe
1.0
4.552 0.000 0.000
0.000 4.552 0.000
0.000 0.000 8.107
Se Ga Ge Pa
2 2 2 2
direct
0.500 0.500 0.500
0.000 0.000 0.500
0.000 0.500 0.814
0.500 0.000 0.186
0.500 0.500 0.000
0.000 0.000 0.000
0.500 0.000 0.729
0.000 0.500 0.271
```

## Properties
raw total energy = -5.71 eV/atom
formation energy (no corrections) = -554 meV per atom

10.
The following is a PBE-GGA calculation of a relaxed structure of SmPaGaGe, from Alexandria.

```
SmPaGaGe
1.0
5.094 0.000 0.000
2.547 4.412 0.000
2.547 1.471 4.160
Ge Pa Sm Ga
1 1 1 1
direct
0.250 0.250 0.250
0.000 0.000 0.000
0.500 0.500 0.500
0.750 0.750 0.750
```

## Properties
energy of formation = -0.319 eV/atom
raw total energy = -5.78 eV/atom

11.
The following is a PBE-GGA calculation of a relaxed structure of TbPaGaGe, from Alexandria.

```
TbPaGaGe
1.0
5.053 0.000 0.000
2.526 4.376 0.000
2.526 1.459 4.126
Tb Pa Ge Ga
1 1 1 1
direct
0.500 0.500 0.500
0.000 0.000 0.000
0.250 0.250 0.250
0.750 0.750 0.750
```

## Properties
energy of formation = -0.344 eV/atom
raw total energy = -5.79 eV/atom

12.
The following is a PBE-GGA calculation of a relaxed structure of Pa2Ga4TcGe2, from Alexandria.

```
Pa2Ga4TcGe2
1.0
-5.257 -1.329 -3.043
5.509 -1.648 -2.365
1.444 -3.003 5.250
Ge Ga Pa Tc
2 4 2 1
direct
0.000 0.280 0.280
0.000 0.720 0.720
0.000 0.715 0.285
0.569 0.285 0.285
0.000 0.285 0.715
0.431 0.715 0.715
0.500 0.750 0.250
0.500 0.250 0.750
0.000 0.000 0.000
```

## Properties
energy of formation = -0.347 eV/atom
raw total energy = -5.98 eV/atom

13.
The following is a PBE-GGA calculation of a relaxed structure of Pa2Ga2TcGe4, from Alexandria.

```
Pa2Ga2TcGe4
1.0
6.157 -0.265 -0.419
-2.716 5.531 0.419
-2.716 -1.982 5.181
Ge Ga Tc Pa
4 2 1 2
direct
0.446 0.723 0.723
0.000 0.723 0.277
0.554 0.277 0.277
0.000 0.277 0.723
0.000 0.288 0.288
0.000 0.712 0.712
0.000 0.000 0.000
0.500 0.750 0.250
0.500 0.250 0.750
```

## Properties
energy of formation = -0.332 eV/atom
raw total energy = -6.32 eV/atom

14.
The following is a PBE-GGA calculation of a relaxed structure of PaGaTcGe, from Alexandria.

```
PaGaTcGe
1.0
4.666 0.000 0.000
2.333 4.041 0.000
2.333 1.347 3.810
Tc Ga Pa Ge
1 1 1 1
direct
0.500 0.500 0.500
0.250 0.250 0.250
0.000 0.000 0.000
0.750 0.750 0.750
```

## Properties
energy of formation = -0.281 eV/atom
raw total energy = -7.16 eV/atom

15.
The following is a PBE-GGA calculation of a relaxed structure of TmPaGaGe, from Alexandria.

```
TmPaGaGe
1.0
-1.851 4.014 -2.357
-3.630 2.709 2.140
0.992 4.597 1.727
Ga Tm Pa Ge
1 1 1 1
direct
0.250 0.250 0.250
0.500 0.500 0.500
0.000 0.000 0.000
0.750 0.750 0.750
```

## Properties
energy of formation = -0.354 eV/atom
raw total energy = -5.76 eV/atom

16.
The following is a PBE-GGA calculation of a relaxed structure of YPaGaGe, from Alexandria.

```
YPaGaGe
1.0
-1.467 4.589 1.513
-4.667 1.628 -1.034
-3.391 0.471 3.712
Ge Ga Y Pa
1 1 1 1
direct
0.250 0.250 0.250
0.750 0.750 0.750
0.000 0.000 0.000
0.500 0.500 0.500
```

## Properties
energy of formation = -0.353 eV/atom
raw total energy = -6.25 eV/atom

17.
The following is a PBE-GGA calculation of a relaxed structure of PaZn2GaGe, from Alexandria.

```
PaZn2GaGe
1.0
-2.395 -2.292 2.502
5.353 -3.811 -1.815
3.702 2.447 5.784
Pa Zn Ga Ge
2 4 2 2
direct
0.577 0.154 0.250
0.423 0.846 0.750
0.814 0.629 0.433
0.186 0.371 0.933
0.814 0.629 0.067
0.186 0.371 0.567
0.734 0.468 0.750
0.266 0.532 0.250
0.000 0.000 0.000
0.000 0.000 0.500
```

## Properties
energy of formation = -0.129 eV/atom
raw total energy = -4.07 eV/atom

18.
The following is a PBE-GGA calculation of a relaxed structure of GaGe2Pb, from Alexandria.

```
GaGe2Pb
1.0
5.967 0.000 0.000
0.000 5.967 0.000
2.983 2.983 6.326
Ge Pb Ga
4 2 2
direct
0.875 0.835 0.750
0.375 0.415 0.750
0.165 0.625 0.250
0.585 0.125 0.250
0.000 0.000 0.000
0.750 0.250 0.500
0.500 0.500 0.000
0.250 0.750 0.500
```

## Properties
energy of formation = 0.188 eV/atom
raw total energy = -3.80 eV/atom
excess energy over the best structure of this formula in the dataset = 0 meV per atom

19.
The following is a PBE-GGA calculation of a relaxed structure of GaGePb3, from Alexandria.

```
GaGePb3
1.0
5.567 0.000 0.000
0.000 5.567 0.000
0.000 0.000 5.567
Ge Pb Ga
1 3 1
direct
0.000 0.000 0.000
0.000 0.500 0.000
0.000 0.000 0.500
0.500 0.000 0.000
0.500 0.500 0.500
```

## Properties
energy of formation = 0.511 eV/atom
raw total energy = -3.24 eV/atom
excess energy over the best structure of this formula in the dataset = 0 meV per atom

20.
The following is a PBE-GGA calculation of a relaxed structure of Ga3Ge3Pb, from Alexandria.

```
Ga3Ge3Pb
1.0
-5.375 -4.591 -0.486
1.863 -2.840 6.218
-4.224 4.589 3.362
Ge Ga Pb
6 6 2
direct
0.500 0.750 0.000
0.000 0.500 0.250
0.250 0.000 0.500
0.000 0.500 0.750
0.500 0.250 0.000
0.750 0.000 0.500
0.000 0.250 0.500
0.500 0.000 0.750
0.000 0.750 0.500
0.750 0.500 0.000
0.250 0.500 0.000
0.500 0.000 0.250
0.000 0.000 0.000
0.500 0.500 0.500
```

## Properties
energy of formation = 0.262 eV/atom
raw total energy = -3.54 eV/atom